SrLaTe: optimized geometry, PBE-GGA.

Cell lengths 7.661, 7.661, 7.661 Å; angles 90.00, 90.00, 90.00 degrees
Space group F-43m (No. 216)
Asymmetric unit:
Sr (0.000, 0.000, 0.000) (multiplicity 4)
La (0.000, 0.000, 0.500) (multiplicity 4)
Te (0.250, 0.250, 0.250) (multiplicity 4)

Values from the calculation:
DFT total energy in eV per cell: -47.42
Total magnetic moment in μB/atom: 0.161